Record 1
A relaxed structure of ZrBeIO2, computed with PBE.

ΔE to the lowest computed polymorph: 689 meV per atom
formation energy from raw total energies: -457 meV/atom
Fermi-level density of states: 2.59 states/eV per cell
final energy: -5.206 eV/atom
total magnetic moment: 0.00 Bohr magnetons per cell

Cell: 3.938 3.938 4.607 Å, 90.00 90.00 90.00°
Positions (direct):
Be 0.000 0.000 0.000
O 0.000 0.500 0.000
O 0.500 0.000 0.000
Zr 0.500 0.500 0.500
I 0.000 0.000 0.500



Record 2
A relaxed structure of TmMg4Pb, computed with PBE.

energy of formation: -8 meV/atom
Fermi-level density of states: 3.59 states/eV per cell
final energy: -2.435 eV/atom
total magnetic moment: 0.00 Bohr magnetons per cell

Cell: 5.993 5.993 5.993 Å, 60.00 60.00 60.00°
Positions (direct):
Mg 0.625 0.625 0.126
Mg 0.625 0.625 0.625
Mg 0.126 0.625 0.625
Pb 0.000 0.000 0.000
Mg 0.625 0.126 0.625
Tm 0.250 0.250 0.250



Record 3
A relaxed structure of LiCa2Mg5Cd2, computed with PBE.

energy of formation: -123 meV/atom
Fermi-level density of states: 9.25 states/eV per cell
final energy: -1.695 eV/atom
total magnetic moment: 0.00 Bohr magnetons per cell

Cell: 4.422 10.829 10.829 Å, 90.00 90.00 90.00°
Positions (direct):
Mg 0.500 0.000 0.500
Mg 0.500 0.500 0.000
Cd 0.000 0.380 0.120
Mg 0.500 0.299 0.560
Mg 0.500 0.940 0.201
Ca 0.000 0.823 0.677
Li 0.000 0.500 0.500
Mg 0.500 0.440 0.299
Cd 0.000 0.620 0.880
Ca 0.000 0.177 0.323
Cd 0.000 0.880 0.380
Mg 0.500 0.799 0.940
Mg 0.500 0.560 0.701
Cd 0.000 0.120 0.620
Mg 0.500 0.201 0.060
Mg 0.500 0.701 0.440
Ca 0.000 0.323 0.823
Mg 0.500 0.060 0.799
Ca 0.000 0.677 0.177
Li 0.000 0.000 0.000



Record 4
A relaxed structure of PuHf3Np4P8, computed with PBE.

energy of formation: -1085 meV/atom
Fermi-level density of states: 42.96 states/eV per cell
final energy: -9.788 eV/atom
total magnetic moment: 12.53 Bohr magnetons per cell

Cell: 7.689 7.717 7.689 Å, 119.88 120.00 90.00°
Each line ends with the local moment (μB).
Positions (direct):
P 0.250 0.739 0.500  -0.04
Np 0.000 0.000 0.500  3.56
P 0.750 0.261 0.500  -0.04
P 0.750 0.261 0.011  -0.04
Hf 0.500 0.500 0.500  -0.02
Hf 0.500 0.500 0.000  -0.02
Hf 0.000 0.500 0.500  -0.02
P 0.250 0.739 0.989  -0.04
P 0.739 0.739 0.989  -0.04
P 0.261 0.261 0.011  -0.04
Np 0.500 0.000 0.500  3.56
Np 0.500 0.000 0.000  -3.40
P 0.255 0.264 0.510  -0.06
P 0.745 0.736 0.490  -0.06
Pu 0.000 0.500 0.000  4.88
Np 0.000 0.000 0.000  3.56



Record 5
A relaxed structure of Nd3SmTm4, computed with PBE.

ΔE to the lowest computed polymorph: 0 meV per atom
energy of formation: 26 meV/atom
Fermi-level density of states: 29.58 states/eV per cell
final energy: -4.587 eV/atom
total magnetic moment: 0.00 Bohr magnetons per cell

Cell: 6.272 7.297 11.448 Å, 90.00 90.00 90.00°
Positions (direct):
Nd 0.483 0.372 0.750
Tm 0.481 0.880 0.750
Tm 0.647 0.120 0.500
Tm 0.481 0.880 0.250
Tm 0.981 0.120 0.250
Sm 0.146 0.370 0.000
Nd 0.983 0.628 0.250
Nd 0.645 0.628 0.000
Nd 0.983 0.628 0.750
Nd 0.145 0.372 0.500
Tm 0.648 0.120 0.000
Sm 0.646 0.630 0.500
Tm 0.981 0.120 0.750
Tm 0.147 0.880 0.000
Nd 0.483 0.372 0.250
Tm 0.148 0.880 0.500



Record 6
A relaxed structure of Y2CoCu3Ni12, computed with PBE.

energy of formation: 242 meV/atom
Fermi-level density of states: 22.89 states/eV per cell
final energy: -5.408 eV/atom
total magnetic moment: 5.42 Bohr magnetons per cell

Cell: 9.178 9.178 9.178 Å, 37.59 37.59 37.59°
Each line ends with the local moment (μB).
Positions (direct):
Ni 0.579 0.187 0.579  0.27
Y 0.349 0.349 0.349  -0.08
Ni 0.646 0.074 0.074  0.43
Co 0.000 0.000 0.000  1.68
Ni 0.579 0.579 0.187  0.27
Y 0.651 0.651 0.651  -0.08
Ni 0.813 0.421 0.421  0.27
Cu 0.000 0.500 0.000  0.04
Ni 0.074 0.074 0.646  0.43
Ni 0.187 0.579 0.579  0.27
Ni 0.421 0.421 0.813  0.27
Ni 0.926 0.926 0.354  0.43
Cu 0.500 0.000 0.000  0.04
Ni 0.421 0.813 0.421  0.27
Ni 0.354 0.926 0.926  0.43
Ni 0.926 0.354 0.926  0.43
Cu 0.000 0.000 0.500  0.04
Ni 0.074 0.646 0.074  0.43



Record 7
A relaxed structure of Rb2NbWI6, computed with PBE.

formation energy from raw total energies: -286 meV/atom
Fermi-level density of states: 4.86 states/eV per cell
final energy: -3.712 eV/atom
total magnetic moment: 7.00 Bohr magnetons per cell

Cell: 8.265 8.265 8.278 Å, 60.05 60.05 90.00°
Each line ends with the local moment (μB).
Positions (direct):
Nb 0.500 0.500 0.000  2.59
I 0.246 0.246 0.507  0.02
Rb 0.250 0.750 0.500  0.00
I 0.754 0.754 0.000  0.02
W 0.000 0.000 0.000  2.65
I 0.246 0.754 0.000  0.02
I 0.754 0.754 0.493  0.02
I 0.754 0.246 0.000  0.02
I 0.246 0.246 0.000  0.02
Rb 0.750 0.250 0.500  0.00



Record 8
A relaxed structure of Pu5NbN8, computed with PBE.

formation energy from raw total energies: -1014 meV/atom
Fermi-level density of states: 28.04 states/eV per cell
final energy: -11.609 eV/atom
total magnetic moment: 21.00 Bohr magnetons per cell

Cell: 6.142 6.142 6.142 Å, 109.44 109.54 109.44°
Each line ends with the local moment (μB).
Positions (direct):
Pu 0.377 0.117 0.988  4.40
N 0.249 0.263 0.395  -0.20
Pu 0.740 0.611 0.623  4.40
Pu 0.500 0.000 0.500  4.58
Pu 0.871 0.883 0.260  4.40
Nb 0.250 0.500 0.750  0.32
N 0.764 0.254 0.380  -0.23
N 0.126 0.746 0.510  -0.23
N 0.014 0.146 0.751  -0.20
N 0.620 0.384 0.874  -0.23
N 0.132 0.737 0.986  -0.20
Pu 0.012 0.389 0.129  4.40
N 0.490 0.616 0.236  -0.23
N 0.605 0.854 0.868  -0.20



Record 9
A relaxed structure of CaRuO4, computed with PBE.

ΔE to the lowest computed polymorph: 9 meV per atom
formation energy from raw total energies: -1569 meV/atom
Fermi-level density of states: 5.96 states/eV per cell
final energy: -6.754 eV/atom
total magnetic moment: 3.99 Bohr magnetons per cell

Cell: 6.232 6.232 6.232 Å, 106.21 106.21 116.20°
Each line ends with the local moment (μB).
Positions (direct):
O 0.076 0.761 0.685  0.17
O 0.609 0.924 0.685  0.17
Ca 0.750 0.250 0.500  0.01
O 0.239 0.924 0.315  0.17
O 0.141 0.326 0.815  0.17
O 0.511 0.326 0.185  0.17
Ru 0.500 0.500 0.000  1.05
Ca 0.000 0.000 0.000  0.01
Ru 0.250 0.750 0.500  1.05
O 0.674 0.859 0.185  0.17
O 0.076 0.391 0.315  0.17
O 0.674 0.489 0.815  0.17



Record 10
A relaxed structure of TlPRh2, computed with PBE.

energy of formation: 13 meV/atom
Fermi-level density of states: 4.97 states/eV per cell
final energy: -5.607 eV/atom
total magnetic moment: 0.00 Bohr magnetons per cell

Cell: 5.948 5.948 6.533 Å, 62.92 62.92 90.00°
Positions (direct):
Rh 0.875 0.802 0.750
P 0.250 0.750 0.500
Tl 0.000 0.000 0.000
Rh 0.198 0.625 0.250
Rh 0.552 0.125 0.250
Rh 0.375 0.448 0.750
P 0.500 0.500 0.000
Tl 0.750 0.250 0.500



Record 11
A relaxed structure of CaYAgCl6, computed with PBE.

formation energy from raw total energies: -1893 meV/atom
Fermi-level density of states: 0.00 states/eV per cell
final energy: -4.382 eV/atom
total magnetic moment: 0.00 Bohr magnetons per cell

Cell: 6.926 6.926 12.102 Å, 90.00 90.00 120.00°
Positions (direct):
Cl 0.660 0.649 0.128
Cl 0.990 0.649 0.372
Ca 0.333 0.667 0.250
Y 0.667 0.333 0.250
Y 0.333 0.667 0.750
Cl 0.010 0.351 0.628
Ag 0.000 0.000 0.500
Cl 0.649 0.990 0.872
Cl 0.660 0.010 0.372
Ca 0.667 0.333 0.750
Cl 0.990 0.340 0.128
Cl 0.010 0.660 0.872
Cl 0.351 0.340 0.372
Cl 0.340 0.990 0.628
Cl 0.351 0.010 0.128
Cl 0.340 0.351 0.872
Ag 0.000 0.000 0.000
Cl 0.649 0.660 0.628



Record 12
A relaxed structure of ZnCuCl5, computed with PBE.

formation energy from raw total energies: -596 meV/atom
Fermi-level density of states: 8.31 states/eV per cell
final energy: -2.682 eV/atom
total magnetic moment: 0.00 Bohr magnetons per cell

Cell: 6.123 6.123 10.384 Å, 90.69 115.01 105.22°
Positions (direct):
Cl 0.680 0.756 0.015
Cl 0.330 0.397 0.653
Cl 0.256 0.822 0.153
Cl 0.001 0.251 0.250
Cl 0.259 0.835 0.515
Cl 0.999 0.749 0.750
Cl 0.741 0.165 0.485
Zn 0.704 0.954 0.250
Cl 0.670 0.603 0.347
Cl 0.320 0.244 0.985
Zn 0.296 0.046 0.750
Cu 0.000 0.500 0.500
Cl 0.744 0.178 0.847
Cu 0.000 0.000 0.000



Fermi-level density of states of number 6 (Y2CoCu3Ni12)?
22.89 states/eV per cell